#a
Ac3CeHg6 after structural relaxation. Source: Alexandria via LeMat-Bulk, functional PBE.

a b c (Å): 11.6457 11.6457 11.6457
angles (deg): 90.00 90.00 90.00
Closest atoms and distances in Å follow each position.
Space group Fm-3m (No. 225)
Asymmetric unit:
Ac 0.0000 0.0000 0.0000 [4 per cell]  6 Hg 2.98
Ac 0.2500 0.2500 0.2500 [8 per cell]  12 Hg 4.12
Ce 0.0000 0.0000 0.5000 [4 per cell]  6 Hg 2.85
Hg 0.0000 0.0000 0.2555 [24 per cell]  1 Ce 2.85, 1 Ac 2.98

Output
Spin magnetization, μB per formula unit: 0.939

---

#b
Ac3CeHg6 after structural relaxation. Source: Alexandria via LeMat-Bulk, functional PBE.

a b c (Å): 9.9032 5.4587 11.9257
angles (deg): 90.00 108.13 90.00
Closest atoms and distances in Å follow each position.
Space group P2_1/m (No. 11)
Asymmetric unit:
Ac 0.0080 0.2500 0.3816 [2 per cell]  5 Hg 3.24-3.60
Ac 0.1512 0.7500 0.2124 [2 per cell]  8 Hg 3.32-3.69
Ac 0.2783 0.2500 0.9881 [2 per cell]  8 Hg 3.30-3.64
Ce 0.4407 0.2500 0.6046 [2 per cell]  8 Hg 3.17-3.52
Hg 0.0344 0.7500 0.9158 [2 per cell]  7 Ac 3.36-3.62, 2 Hg 3.58
Hg 0.1727 0.2500 0.6962 [2 per cell]  1 Ce 3.17, 3 Ac 3.24-3.31, 2 Hg 3.34
Hg 0.2681 0.7500 0.5050 [2 per cell]  3 Ce 3.24-3.52, 2 Ac 3.32-3.41, 1 Hg 3.40
Hg 0.3585 0.2500 0.3150 [2 per cell]  3 Ce 3.29-3.34, 2 Ac 3.41, 2 Hg 3.47-3.65
Hg 0.3638 0.7500 0.8044 [2 per cell]  7 Hg 3.29-3.54, 2 Ac 3.64-3.66
Hg 0.4453 0.7500 0.1150 [2 per cell]  1 Ce 3.18, 3 Hg 3.29-3.54, 4 Ac 3.30-3.46

Output
Spin magnetization, μB per formula unit: 1.202

---

What should be chosen as the least stable of them? Choose #a.